Compound: ScAsOsSe2
Source: Alexandria
Functional: GGA-PBE
Structure: relaxed

## Properties
Raw formation energy ... 242 meV per atom
DFT total energy ... -0.206 hartree per atom
M_tot ... 0.000 μB per atom
Polymorph energy (0 for the lowest one) ... 0.00 kcal/mol of atoms

Lattice parameters (Å, degrees): 5.103 5.103 4.537 90.00 90.00 90.00
Positions (direct):
Sc  0.500  0.500  0.500
As  0.000  0.000  0.500
Os  0.000  0.000  0.000
Se  0.000  0.500  0.000
Se  0.500  0.000  0.000

Compound: ScAs2OsSe
Source: Alexandria
Functional: GGA-PBE
Structure: relaxed

## Properties
Raw formation energy ... 1141 meV per atom
DFT total energy ... -0.181 hartree per atom
M_tot ... 0.485 μB per atom
Polymorph energy (0 for the lowest one) ... 20.11 kcal/mol of atoms

Lattice parameters (Å, degrees): 5.063 5.063 4.904 90.00 90.00 90.00
Site moments in Bohr magnetons follow the coordinates.
Positions (direct):
Sc  0.000  0.000  0.000  0.02
As  0.000  0.500  0.000  -0.12
As  0.500  0.000  0.000  -0.12
Os  0.500  0.500  0.500  2.62
Se  0.000  0.000  0.500  -0.06

Compound: ScAsOsSe2
Source: Alexandria
Functional: GGA-PBE
Structure: relaxed

## Properties
Raw formation energy ... 969 meV per atom
DFT total energy ... -0.179 hartree per atom
M_tot ... 0.608 μB per atom
Polymorph energy (0 for the lowest one) ... 16.75 kcal/mol of atoms

Lattice parameters (Å, degrees): 4.989 4.989 5.173 90.00 90.00 90.00
Site moments in Bohr magnetons follow the coordinates.
Positions (direct):
Sc  0.000  0.000  0.000  0.03
As  0.000  0.000  0.500  -0.14
Os  0.500  0.500  0.500  2.93
Se  0.000  0.500  0.000  -0.03
Se  0.500  0.000  0.000  -0.03

Compound: ScAs2OsSe
Source: Alexandria
Functional: GGA-PBE
Structure: relaxed

## Properties
Raw formation energy ... 269 meV per atom
DFT total energy ... -0.213 hartree per atom
M_tot ... 0.000 μB per atom
Polymorph energy (0 for the lowest one) ... 0.00 kcal/mol of atoms

Lattice parameters (Å, degrees): 4.652 4.652 5.420 90.00 90.00 90.00
Positions (direct):
Sc  0.500  0.500  0.500
As  0.000  0.500  0.000
As  0.500  0.000  0.000
Os  0.000  0.000  0.000
Se  0.000  0.000  0.500

Compound: ScTaAs2Os
Source: Alexandria
Functional: GGA-PBE
Structure: relaxed

## Properties
DFT total energy ... -0.233 hartree per atom
Formation energy from the elements ... 1401 meV/atom
M_tot ... 0.000 μB per atom

Lattice parameters (Å, degrees): 4.808 4.661 4.808 90.00 90.00 90.00
Positions (direct):
Sc  0.000  0.000  0.000
As  0.000  0.000  0.500
As  0.500  0.000  0.000
Os  0.000  0.500  0.000
Ta  0.500  0.500  0.500

Compound: ScTl2AsOs
Source: Alexandria
Functional: GGA-PBE
Structure: relaxed

## Properties
DFT total energy ... -0.177 hartree per atom
Formation energy from the elements ... 567 meV/atom
M_tot ... 0.000 μB per atom

Lattice parameters (Å, degrees): 5.350 4.643 5.350 90.00 90.00 90.00
Positions (direct):
Sc  0.500  0.500  0.500
Tl  0.000  0.000  0.500
Tl  0.500  0.000  0.000
Os  0.000  0.000  0.000
As  0.000  0.500  0.000

Compound: AsOsSe2
Source: Alexandria
Functional: GGA-PBE
Structure: relaxed

## Properties
Raw formation energy ... 111 meV per atom
DFT total energy ... -0.206 hartree per atom
M_tot ... 0.000 μB per atom
Polymorph energy (0 for the lowest one) ... 0.25 kcal/mol of atoms

Lattice parameters (Å, degrees): 4.553 4.553 6.434 71.96 71.96 47.37
Positions (direct):
As  0.411  0.411  0.616
Os  0.704  0.704  0.635
Se  0.104  0.104  0.926
Se  0.281  0.281  0.323

Compound: AsOsSe2
Source: Alexandria
Functional: GGA-PBE
Structure: relaxed

## Properties
Raw formation energy ... 329 meV per atom
DFT total energy ... -0.198 hartree per atom
M_tot ... 0.000 μB per atom
Polymorph energy (0 for the lowest one) ... 5.29 kcal/mol of atoms

Lattice parameters (Å, degrees): 8.288 8.288 8.288 25.45 25.45 25.45
Positions (direct):
As  0.000  0.000  0.000
Os  0.500  0.500  0.500
Se  0.889  0.889  0.889
Se  0.111  0.111  0.111

Compound: AsOsSe2
Source: Alexandria
Functional: GGA-PBE
Structure: relaxed

## Properties
Raw formation energy ... 359 meV per atom
DFT total energy ... -0.197 hartree per atom
M_tot ... 0.000 μB per atom
Polymorph energy (0 for the lowest one) ... 5.99 kcal/mol of atoms

Lattice parameters (Å, degrees): 6.337 6.337 6.337 151.31 138.87 50.91
Positions (direct):
As  0.750  0.250  0.500
Os  0.250  0.750  0.500
Se  0.075  0.075  0.000
Se  0.425  0.425  0.000

Compound: AsOsSe
Source: Alexandria
Functional: GGA-PBE
Structure: relaxed

## Properties
Raw formation energy ... 237 meV per atom
DFT total energy ... -0.228 hartree per atom
M_tot ... 0.000 μB per atom

Lattice parameters (Å, degrees): 8.048 7.426 3.084 77.87 67.32 22.53
Positions (direct):
As  0.084  0.838  0.162
Os  0.334  0.334  0.666
Se  0.582  0.828  0.172

Compound: AsOsSe
Source: Alexandria
Functional: GGA-PBE
Structure: relaxed

## Properties
Raw formation energy ... -124 meV per atom
DFT total energy ... -0.242 hartree per atom
M_tot ... 0.000 μB per atom

Lattice parameters (Å, degrees): 5.202 7.047 9.281 78.53 90.37 90.33
Positions (direct):
Os  0.500  0.500  0.000
Os  0.507  0.858  0.649
Os  0.493  0.142  0.351
Os  0.001  0.365  0.648
Os  0.999  0.635  0.352
Os  0.000  0.000  0.000
As  0.715  0.733  0.126
As  0.796  0.593  0.785
As  0.828  0.904  0.457
As  0.172  0.096  0.543
As  0.204  0.407  0.215
As  0.285  0.267  0.874
Se  0.680  0.399  0.453
Se  0.697  0.099  0.787
Se  0.800  0.238  0.127
Se  0.200  0.762  0.873
Se  0.320  0.601  0.547
Se  0.303  0.901  0.213

Compound: AsOsSe2
Source: Alexandria
Functional: GGA-PBE
Structure: relaxed

## Properties
Raw formation energy ... 724 meV per atom
DFT total energy ... -0.183 hartree per atom
M_tot ... 0.000 μB per atom
Polymorph energy (0 for the lowest one) ... 14.40 kcal/mol of atoms

Lattice parameters (Å, degrees): 4.661 4.661 3.136 90.00 90.00 90.01
Positions (direct):
As  0.500  0.000  0.500
Os  0.000  0.500  0.500
Se  0.000  0.000  0.000
Se  0.500  0.500  0.000